(1)
# PBE-GGA K2MgCd, relaxed
data_K2MgCd
_chemical_formula_sum 'K4 Mg2 Cd2'
_space_group_name_H-M_alt 'C m m m'
_space_group_IT_number 65
_space_group_name_Hall '-C 2 2'
_cell_length_a 5.413
_cell_length_b 5.422
_cell_length_c 10.834
_cell_angle_alpha 90.00
_cell_angle_beta 90.00
_cell_angle_gamma 90.00
loop_
_atom_site_label
_atom_site_type_symbol
_atom_site_fract_x
_atom_site_fract_y
_atom_site_fract_z
_atom_site_occupancy
K1 K 0.000 0.000 0.241 1
Mg1 Mg 0.000 0.500 0.500 1
Cd1 Cd 0.000 0.500 0.000 1
# formation enthalpy at 0 K	0.51	eV per formula unit
# excess energy over the best structure of this formula in the dataset	0.0901	eV/atom
# DOS at the Fermi energy	3.65	states/eV per cell


(2)
# PBE-GGA KMg2Cd, relaxed
data_KMg2Cd
_chemical_formula_sum 'K4 Mg8 Cd4'
_space_group_name_H-M_alt 'I -4 2 d'
_space_group_IT_number 122
_space_group_name_Hall 'I -4 2bw'
_cell_length_a 5.552
_cell_length_b 5.552
_cell_length_c 20.493
_cell_angle_alpha 90.00
_cell_angle_beta 90.00
_cell_angle_gamma 90.00
loop_
_atom_site_label
_atom_site_type_symbol
_atom_site_fract_x
_atom_site_fract_y
_atom_site_fract_z
_atom_site_occupancy
K1 K 0.000 0.000 0.000 1
Mg1 Mg 0.075 0.250 0.625 1
Cd1 Cd 0.000 0.000 0.500 1
# formation enthalpy at 0 K	0.99	eV per formula unit
# DOS at the Fermi energy	8.88	states/eV per cell


(3)
# PBE-GGA KMg2Cd, relaxed
data_KMg2Cd
_chemical_formula_sum 'K1 Mg2 Cd1'
_space_group_name_H-M_alt 'P 4/m m m'
_space_group_IT_number 123
_space_group_name_Hall '-P 4 2'
_cell_length_a 4.893
_cell_length_b 4.893
_cell_length_c 5.043
_cell_angle_alpha 90.00
_cell_angle_beta 90.00
_cell_angle_gamma 90.00
loop_
_atom_site_label
_atom_site_type_symbol
_atom_site_fract_x
_atom_site_fract_y
_atom_site_fract_z
_atom_site_occupancy
K1 K 0.000 0.000 0.000 1
Mg1 Mg 0.000 0.500 0.500 1
Cd1 Cd 0.500 0.500 0.000 1
# formation enthalpy at 0 K	0.70	eV per formula unit
# DOS at the Fermi energy	2.09	states/eV per cell


(4)
# PBE-GGA K3MgCd4, relaxed
data_K3MgCd4
_chemical_formula_sum 'K6 Mg2 Cd8'
_space_group_name_H-M_alt 'C 1 2 1'
_space_group_IT_number 5
_cell_length_a 13.613
_cell_length_b 6.770
_cell_length_c 7.169
_cell_angle_alpha 90.00
_cell_angle_beta 118.30
_cell_angle_gamma 90.00
loop_
_space_group_symop_operation_xyz
'x,y,z'
'-x,y,-z'
'x+1/2,y+1/2,z'
'-x+1/2,y+1/2,-z'
loop_
_atom_site_label
_atom_site_type_symbol
_atom_site_fract_x
_atom_site_fract_y
_atom_site_fract_z
_atom_site_occupancy
K1 K 0.000 0.000 0.000 1
K2 K 0.183 0.738 0.578 1
Mg1 Mg 0.000 0.263 0.500 1
Cd1 Cd 0.069 0.497 0.900 1
Cd2 Cd 0.228 0.223 0.851 1
# formation enthalpy at 0 K	-0.22	eV per formula unit
# DOS at the Fermi energy	8.97	states/eV per cell


(5)
# PBE-GGA KMg7Cd5, relaxed
data_KMg7Cd5
_chemical_formula_sum 'K2 Mg14 Cd10'
_space_group_name_H-M_alt 'I m m 2'
_space_group_IT_number 44
_cell_length_a 5.962
_cell_length_b 10.309
_cell_length_c 10.263
_cell_angle_alpha 90.00
_cell_angle_beta 90.00
_cell_angle_gamma 90.00
loop_
_space_group_symop_operation_xyz
'x,y,z'
'-x,-y,z'
'-x,y,z'
'x,-y,z'
'x+1/2,y+1/2,z+1/2'
'-x+1/2,-y+1/2,z+1/2'
'-x+1/2,y+1/2,z+1/2'
'x+1/2,-y+1/2,z+1/2'
loop_
_atom_site_label
_atom_site_type_symbol
_atom_site_fract_x
_atom_site_fract_y
_atom_site_fract_z
_atom_site_occupancy
K1 K 0.000 0.000 0.000 1
Mg1 Mg 0.000 0.000 0.350 1
Mg2 Mg 0.000 0.000 0.643 1
Mg3 Mg 0.000 0.280 0.501 1
Mg4 Mg 0.000 0.353 0.996 1
Mg5 Mg 0.000 0.500 0.273 1
Cd1 Cd 0.000 0.500 0.719 1
Cd2 Cd 0.249 0.253 0.250 1
# formation enthalpy at 0 K	-0.71	eV per formula unit
# DOS at the Fermi energy	13.63	states/eV per cell


(6)
# PBE-GGA K2MgCd, relaxed
data_K2MgCd
_chemical_formula_sum 'K4 Mg2 Cd2'
_space_group_name_H-M_alt 'I 4/m m m'
_space_group_IT_number 139
_space_group_name_Hall '-I 4 2'
_cell_length_a 5.494
_cell_length_b 5.494
_cell_length_c 10.603
_cell_angle_alpha 90.00
_cell_angle_beta 90.00
_cell_angle_gamma 90.00
loop_
_atom_site_label
_atom_site_type_symbol
_atom_site_fract_x
_atom_site_fract_y
_atom_site_fract_z
_atom_site_occupancy
K1 K 0.000 0.500 0.250 1
Mg1 Mg 0.000 0.000 0.000 1
Cd1 Cd 0.000 0.000 0.500 1
# formation enthalpy at 0 K	0.53	eV per formula unit
# excess energy over the best structure of this formula in the dataset	0.0953	eV/atom
# DOS at the Fermi energy	4.32	states/eV per cell


(7)
# PBE-GGA K2MgCd2, relaxed
data_K2MgCd2
_chemical_formula_sum 'K4 Mg2 Cd4'
_space_group_name_H-M_alt 'P 4/m b m'
_space_group_IT_number 127
_space_group_name_Hall '-P 4 2ab'
_cell_length_a 7.919
_cell_length_b 7.919
_cell_length_c 5.762
_cell_angle_alpha 90.00
_cell_angle_beta 90.00
_cell_angle_gamma 90.00
loop_
_atom_site_label
_atom_site_type_symbol
_atom_site_fract_x
_atom_site_fract_y
_atom_site_fract_z
_atom_site_occupancy
K1 K 0.176 0.324 0.000 1
Mg1 Mg 0.000 0.000 0.500 1
Cd1 Cd 0.134 0.634 0.500 1
# formation enthalpy at 0 K	0.05	eV per formula unit
# excess energy over the best structure of this formula in the dataset	0.0000	eV/atom
# DOS at the Fermi energy	5.11	states/eV per cell


(8)
# PBE-GGA KMg2Cd, relaxed
data_KMg2Cd
_chemical_formula_sum 'K2 Mg4 Cd2'
_space_group_name_H-M_alt 'C m m m'
_space_group_IT_number 65
_space_group_name_Hall '-C 2 2'
_cell_length_a 6.824
_cell_length_b 10.764
_cell_length_c 3.268
_cell_angle_alpha 90.00
_cell_angle_beta 90.00
_cell_angle_gamma 90.00
loop_
_atom_site_label
_atom_site_type_symbol
_atom_site_fract_x
_atom_site_fract_y
_atom_site_fract_z
_atom_site_occupancy
K1 K 0.000 0.000 0.000 1
Mg1 Mg 0.250 0.250 0.500 1
Cd1 Cd 0.000 0.500 0.000 1
# formation enthalpy at 0 K	0.88	eV per formula unit
# DOS at the Fermi energy	3.61	states/eV per cell


(9)
# PBE-GGA KMgCd3, relaxed
data_KMgCd3
_chemical_formula_sum 'K1 Mg1 Cd3'
_space_group_name_H-M_alt 'P m -3 m'
_space_group_IT_number 221
_space_group_name_Hall '-P 4 2 3'
_cell_length_a 5.557
_cell_length_b 5.557
_cell_length_c 5.557
_cell_angle_alpha 90.00
_cell_angle_beta 90.00
_cell_angle_gamma 90.00
loop_
_atom_site_label
_atom_site_type_symbol
_atom_site_fract_x
_atom_site_fract_y
_atom_site_fract_z
_atom_site_occupancy
K1 K 0.000 0.000 0.000 1
Mg1 Mg 0.500 0.500 0.500 1
Cd1 Cd 0.000 0.500 0.500 1
# formation enthalpy at 0 K	0.57	eV per formula unit
# excess energy over the best structure of this formula in the dataset	0.1618	eV/atom
# DOS at the Fermi energy	2.68	states/eV per cell


(10)
# PBE-GGA KMg5Cd7, relaxed
data_KMg5Cd7
_chemical_formula_sum 'K2 Mg10 Cd14'
_space_group_name_H-M_alt 'I m m 2'
_space_group_IT_number 44
_cell_length_a 6.077
_cell_length_b 10.275
_cell_length_c 10.073
_cell_angle_alpha 90.00
_cell_angle_beta 90.00
_cell_angle_gamma 90.00
loop_
_space_group_symop_operation_xyz
'x,y,z'
'-x,-y,z'
'-x,y,z'
'x,-y,z'
'x+1/2,y+1/2,z+1/2'
'-x+1/2,-y+1/2,z+1/2'
'-x+1/2,y+1/2,z+1/2'
'x+1/2,-y+1/2,z+1/2'
loop_
_atom_site_label
_atom_site_type_symbol
_atom_site_fract_x
_atom_site_fract_y
_atom_site_fract_z
_atom_site_occupancy
K1 K 0.000 0.000 0.000 1
Mg1 Mg 0.000 0.500 0.273 1
Mg2 Mg 0.248 0.253 0.747 1
Cd1 Cd 0.000 0.000 0.351 1
Cd2 Cd 0.000 0.000 0.654 1
Cd3 Cd 0.000 0.286 0.495 1
Cd4 Cd 0.000 0.351 0.000 1
Cd5 Cd 0.000 0.500 0.718 1
# formation enthalpy at 0 K	-0.84	eV per formula unit
# DOS at the Fermi energy	9.70	states/eV per cell


(11)
# PBE-GGA KMg2Cd10, relaxed
data_KMg2Cd10
_chemical_formula_sum 'K4 Mg8 Cd40'
_space_group_name_H-M_alt 'F m m m'
_space_group_IT_number 69
_space_group_name_Hall '-F 2 2'
_cell_length_a 6.073
_cell_length_b 14.311
_cell_length_c 14.510
_cell_angle_alpha 90.00
_cell_angle_beta 90.00
_cell_angle_gamma 90.00
loop_
_atom_site_label
_atom_site_type_symbol
_atom_site_fract_x
_atom_site_fract_y
_atom_site_fract_z
_atom_site_occupancy
K1 K 0.000 0.000 0.000 1
Mg1 Mg 0.250 0.000 0.250 1
Cd1 Cd 0.000 0.109 0.389 1
Cd2 Cd 0.000 0.174 0.177 1
Cd3 Cd 0.250 0.250 0.000 1
# formation enthalpy at 0 K	-0.73	eV per formula unit
# DOS at the Fermi energy	20.85	states/eV per cell


(12)
# PBE-GGA K2MgCd, relaxed
data_K2MgCd
_chemical_formula_sum 'K8 Mg4 Cd4'
_space_group_name_H-M_alt 'I -4 2 d'
_space_group_IT_number 122
_space_group_name_Hall 'I -4 2bw'
_cell_length_a 9.975
_cell_length_b 9.975
_cell_length_c 6.802
_cell_angle_alpha 90.00
_cell_angle_beta 90.00
_cell_angle_gamma 90.00
loop_
_atom_site_label
_atom_site_type_symbol
_atom_site_fract_x
_atom_site_fract_y
_atom_site_fract_z
_atom_site_occupancy
K1 K 0.229 0.250 0.125 1
Mg1 Mg 0.000 0.000 0.500 1
Cd1 Cd 0.000 0.000 0.000 1
# formation enthalpy at 0 K	0.86	eV per formula unit
# excess energy over the best structure of this formula in the dataset	0.1771	eV/atom
# DOS at the Fermi energy	8.17	states/eV per cell


Look up the DOS at the Fermi energy of the fourth one. 8.97 states/eV per cell


What is the formula in the twelfth record? K2MgCd